A geometry-optimized Tl2Sn2Se structure, computed with PBE-GGA.

Cell: 4.136 4.136 9.825 Å, 77.85 77.85 90.00°
Positions (direct):
1 Se 0.000 0.000 0.000
2 Tl 0.415 0.415 0.171
3 Tl 0.585 0.585 0.829
4 Sn 0.750 0.250 0.500
5 Sn 0.250 0.750 0.500

Output
ΔE to the lowest computed polymorph	0.060	eV per atom
total magnetic moment	0.0000	μB/atom